Arrangement w

VASP calculation (GGA-PBE) on a relaxed Tb3Dy4Th2 crystal.

Values from the calculation:
V: 287 Å³/f.u.

Lattice parameters (Å, degrees): 18.6366 3.5906 9.5096 90.00 115.70 90.00
Space group C2/m (No. 12)
One atom of each set of equivalent atoms:
Tb1 0.0000 0.0000 0.0000 [2 per cell]
Tb2 0.1494 0.0000 0.6713 [4 per cell]
Dy1 0.0180 0.5000 0.3325 [4 per cell]
Dy2 0.1848 0.0000 0.3300 [4 per cell]
Th1 0.1679 0.5000 0.0006 [4 per cell]

=====

Arrangement x

VASP calculation (GGA-PBE) on a relaxed Tb3Dy4Th2 crystal.

Values from the calculation:
V: 290 Å³/f.u.

Lattice parameters (Å, degrees): 3.5542 3.5542 26.4919 90.00 90.00 120.00
Space group P3m1 (No. 156)
One atom of each set of equivalent atoms:
Tb1 0.0000 0.0000 0.0000 [1 per cell]
Tb2 0.0000 0.0000 0.3449 [1 per cell]
Tb3 0.6667 0.3333 0.6693 [1 per cell]
Dy1 0.0000 0.0000 0.5612 [1 per cell]
Dy2 0.0000 0.0000 0.7787 [1 per cell]
Dy3 0.6667 0.3333 0.2389 [1 per cell]
Dy4 0.6667 0.3333 0.4541 [1 per cell]
Th1 0.6667 0.3333 0.1110 [1 per cell]
Th2 0.6667 0.3333 0.8881 [1 per cell]

=====

arrangement w is the most stable structure; the next one sits 0.071 eV/atom above it.

=====

Arrangement w

VASP calculation (GGA-PBE) on a relaxed TbDy6Th4 crystal.

Values from the calculation:
V: 358 Å³/f.u.

Lattice parameters (Å, degrees): 3.4309 5.8491 35.7096 90.00 90.00 90.00
Space group Immm (No. 71)
One atom of each set of equivalent atoms:
Tb1 0.0000 0.0000 0.0000 [2 per cell]
Dy1 0.0000 0.5000 0.1312 [4 per cell]
Dy2 0.0000 0.5000 0.2328 [4 per cell]
Dy3 0.0000 0.5000 0.4042 [4 per cell]
Th1 0.0000 0.0000 0.1822 [4 per cell]
Th2 0.0000 0.0000 0.4562 [4 per cell]

=====

Arrangement x

VASP calculation (GGA-PBE) on a relaxed TbDy6Th4 crystal.

Values from the calculation:
V: 398 Å³/f.u.

Lattice parameters (Å, degrees): 7.8457 7.8457 12.9309 90.00 90.00 90.00
Space group I-42m (No. 121)
One atom of each set of equivalent atoms:
Tb1 0.0000 0.0000 0.0000 [2 per cell]
Dy1 0.0000 0.5000 0.0000 [4 per cell]
Dy2 0.2428 0.2428 0.6843 [8 per cell]
Th1 0.1684 0.1684 0.4267 [8 per cell]

=====

arrangement w is the most stable structure; the next one sits 0.330 eV/atom above it.

=====

Arrangement w

VASP calculation (GGA-PBE) on a relaxed Tb8Dy2Th crystal.

Values from the calculation:
V: 365 Å³/f.u.

Lattice parameters (Å, degrees): 10.2046 13.2992 5.3743 90.00 90.00 90.00
Space group Cmmm (No. 65)
One atom of each set of equivalent atoms:
Tb1 0.0000 0.2474 0.0000 [4 per cell]
Tb2 0.1646 0.3683 0.5000 [8 per cell]
Tb3 0.1660 0.0000 0.0000 [4 per cell]
Dy1 0.0000 0.1207 0.5000 [4 per cell]
Th1 0.0000 0.5000 0.0000 [2 per cell]

=====

Arrangement x

VASP calculation (GGA-PBE) on a relaxed Tb8Dy2Th crystal.

Values from the calculation:
V: 366 Å³/f.u.

Lattice parameters (Å, degrees): 19.2168 6.8496 5.5653 90.00 93.62 90.00
Space group C2/m (No. 12)
One atom of each set of equivalent atoms:
Tb1 0.0476 0.0000 0.2333 [4 per cell]
Tb2 0.1311 0.2378 0.7286 [8 per cell]
Tb3 0.1854 0.5000 0.2260 [4 per cell]
Dy1 0.2171 0.0000 0.2535 [4 per cell]
Th1 0.0000 0.5000 0.0000 [2 per cell]

=====

arrangement w is the most stable structure; the next one sits 0.009 eV/atom above it.

=====

Arrangement w

VASP calculation (GGA-PBE) on a relaxed Tb3Dy6Th crystal.

Values from the calculation:
V: 328 Å³/f.u.

Lattice parameters (Å, degrees): 9.8210 9.8210 11.7680 90.00 90.00 120.00
Space group R32 (No. 155, hexagonal axes)
One atom of each set of equivalent atoms:
Tb1 0.0000 0.0000 0.0000 [3 per cell]
Tb2 0.0000 0.0000 0.2423 [6 per cell]
Dy1 0.0000 0.3297 0.5000 [9 per cell]
Dy2 0.0000 0.6666 0.0000 [9 per cell]
Th1 0.0000 0.0000 0.5000 [3 per cell]

=====

Arrangement x

VASP calculation (GGA-PBE) on a relaxed Tb3Dy6Th crystal.

Values from the calculation:
V: 325 Å³/f.u.

Lattice parameters (Å, degrees): 7.3551 18.7860 9.3988 90.00 90.00 90.00
Space group Cmc2_1 (No. 36)
One atom of each set of equivalent atoms:
Tb1 0.0000 0.0379 0.0000 [4 per cell]
Tb2 0.2493 0.3746 0.8263 [8 per cell]
Dy1 0.0000 0.2106 0.6526 [4 per cell]
Dy2 0.0000 0.4628 0.4976 [4 per cell]
Dy3 0.2480 0.1866 0.9529 [8 per cell]
Dy4 0.2486 0.0610 0.7029 [8 per cell]
Th1 0.0000 0.2893 0.1544 [4 per cell]

=====

arrangement x is the most stable structure; the next one sits 0.170 eV/atom above it.

=====

Arrangement w

VASP calculation (GGA-PBE) on a relaxed Tb2DyTh2 crystal.

Values from the calculation:
V: 162 Å³/f.u.

Lattice parameters (Å, degrees): 3.5152 5.8081 15.8487 90.00 90.00 90.00
Space group Immm (No. 71)
One atom of each set of equivalent atoms:
Tb1 0.0000 0.0000 0.1015 [4 per cell]
Dy1 0.0000 0.0000 0.5000 [2 per cell]
Th1 0.0000 0.5000 0.2118 [4 per cell]

=====

Arrangement x

VASP calculation (GGA-PBE) on a relaxed Tb2DyTh2 crystal.

Values from the calculation:
V: 169 Å³/f.u.

Lattice parameters (Å, degrees): 3.4814 16.7897 23.1267 90.00 90.00 90.00
Space group Fddd (No. 70, origin choice 2)
One atom of each set of equivalent atoms:
Tb1 0.1250 0.2948 0.1250 [16 per cell]
Dy1 0.1250 0.1250 0.6250 [8 per cell]
Th1 0.0000 0.0000 0.5000 [16 per cell]

=====

arrangement w is the most stable structure; the next one sits 0.384 eV/atom above it.

=====

Arrangement w

VASP calculation (GGA-PBE) on a relaxed Tb12Dy7Th crystal.

Values from the calculation:
V: 656 Å³/f.u.

Lattice parameters (Å, degrees): 12.2110 12.2110 15.2445 90.00 90.00 120.00
Space group R-3 (No. 148, hexagonal axes)
One atom of each set of equivalent atoms:
Tb1 0.0147 0.5709 0.2044 [18 per cell]
Tb2 0.0572 0.4701 0.5890 [18 per cell]
Dy1 0.0000 0.0000 0.0000 [3 per cell]
Dy2 0.0410 0.8560 0.3044 [18 per cell]
Th1 0.0000 0.0000 0.5000 [3 per cell]

=====

Arrangement x

VASP calculation (GGA-PBE) on a relaxed Tb12Dy7Th crystal.

Values from the calculation:
V: 718 Å³/f.u.

Lattice parameters (Å, degrees): 11.2821 11.2821 11.2821 90.00 90.00 90.00
Space group Im-3m (No. 229)
One atom of each set of equivalent atoms:
Tb1 0.0000 0.2464 0.2464 [24 per cell]
Dy1 0.0000 0.0000 0.5000 [6 per cell]
Dy2 0.2500 0.2500 0.2500 [8 per cell]
Th1 0.0000 0.0000 0.0000 [2 per cell]

=====

arrangement w is the most stable structure; the next one sits 0.495 eV/atom above it.

=====

Arrangement w

VASP calculation (GGA-PBE) on a relaxed Tb4Dy2Th crystal.

Values from the calculation:
V: 227 Å³/f.u.

Lattice parameters (Å, degrees): 3.5443 3.5443 62.7125 90.00 90.00 120.00
Space group R-3m (No. 166, hexagonal axes)
One atom of each set of equivalent atoms:
Tb1 0.0000 0.0000 0.1430 [6 per cell]
Tb2 0.0000 0.0000 0.2889 [6 per cell]
Dy1 0.0000 0.0000 0.2349 [6 per cell]
Th1 0.0000 0.0000 0.0000 [3 per cell]

=====

Arrangement x

VASP calculation (GGA-PBE) on a relaxed Tb4Dy2Th crystal.

Values from the calculation:
V: 225 Å³/f.u.

Lattice parameters (Å, degrees): 6.2205 3.5926 20.2147 90.00 95.92 90.00
Space group Cm (No. 8)
One atom of each set of equivalent atoms:
Tb1 0.0000 0.0000 0.0000 [2 per cell]
Tb2 0.0207 0.5000 0.5682 [2 per cell]
Tb3 0.0937 0.0000 0.2834 [2 per cell]
Tb4 0.1177 0.5000 0.8567 [2 per cell]
Dy1 0.2134 0.5000 0.1418 [2 per cell]
Dy2 0.3069 0.5000 0.4256 [2 per cell]
Th1 0.4026 0.5000 0.7128 [2 per cell]

=====

arrangement x is the most stable structure; the next one sits 0.062 eV/atom above it.

=====

Arrangement w

VASP calculation (GGA-PBE) on a relaxed Tb2Dy2Tl3 crystal.

Values from the calculation:
V: 201 Å³/f.u.

Lattice parameters (Å, degrees): 3.5309 32.0404 3.5459 90.00 90.00 90.00
Space group Cmmm (No. 65)
One atom of each set of equivalent atoms:
Tb1 0.0000 0.0682 0.0000 [4 per cell]
Dy1 0.0000 0.2019 0.0000 [4 per cell]
Tl1 0.0000 0.3637 0.5000 [4 per cell]
Tl2 0.0000 0.5000 0.5000 [2 per cell]

=====

Arrangement x

VASP calculation (GGA-PBE) on a relaxed Tb2Dy2Tl3 crystal.

Values from the calculation:
V: 210 Å³/f.u.

Lattice parameters (Å, degrees): 15.9619 5.2796 5.2698 90.00 109.28 90.00
Space group C2/m (No. 12)
One atom of each set of equivalent atoms:
Tb1 0.1218 0.0000 0.1212 [4 per cell]
Dy1 0.1210 0.5000 0.6210 [4 per cell]
Tl1 0.0000 0.5000 0.0000 [2 per cell]
Tl2 0.2455 0.0000 0.7451 [4 per cell]

=====

arrangement x is the most stable structure; the next one sits 0.010 eV/atom above it.